This record from Alexandria describes crystalline LaCd3Os at its relaxed geometry. The functional is GGA-PBEsol.

Values from the calculation:
- DFT formation energy: 0.39 eV/atom

a b c (Å): 5.0828 5.0828 5.0828
angles (deg): 90.00 90.00 90.00
Last column: nearest neighbours and their distance in Å.
Fractional positions:
Cd 0.0000 0.0000 0.5000  2 Os 2.54
Cd 0.5000 0.0000 0.0000  2 Os 2.54
Cd 0.0000 0.5000 0.0000  2 Os 2.54
Os 0.0000 0.0000 0.0000  6 Cd 2.54
La 0.5000 0.5000 0.5000  12 Cd 3.59

---

This record from Alexandria describes crystalline POs3W at its relaxed geometry. The functional is GGA-PBEsol.

Values from the calculation:
- DFT formation energy: 1.21 eV/atom

a b c (Å): 4.2841 4.2841 4.2841
angles (deg): 90.00 90.00 90.00
Last column: nearest neighbours and their distance in Å.
Fractional positions:
Os 0.0000 0.5000 0.0000  2 P 2.14
Os 0.0000 0.0000 0.5000  2 P 2.14
Os 0.5000 0.0000 0.0000  2 P 2.14
P 0.0000 0.0000 0.0000  6 Os 2.14
W 0.5000 0.5000 0.5000  12 Os 3.03